# AgSb3 PBE-GGA relaxed
# volume: 26.52 A^3/atom
# offset from the most stable computed form: 31.0 kJ/mol of formula units
# crystal system: orthorhombic
# ΔE_f (raw): 0.1748 eV per atom
data_AgSb3
_space_group_name_H-M_alt 'I m m m'
_space_group_IT_number 71
_space_group_name_Hall '-I 2 2'
_cell_length_a 4.180
_cell_length_b 4.224
_cell_length_c 12.017
_cell_angle_alpha 90.00
_cell_angle_beta 90.00
_cell_angle_gamma 90.00
loop_
_atom_site_label
_atom_site_type_symbol
_atom_site_fract_x
_atom_site_fract_y
_atom_site_fract_z
Ag1 Ag 0.000 0.000 0.000
Sb1 Sb 0.000 0.000 0.500
Sb2 Sb 0.000 0.500 0.306

# Ag3Sb PBE-GGA relaxed
# volume: 20.76 A^3/atom
# crystal system: trigonal
# ΔE_f (raw): 0.1714 eV per atom
data_Ag3Sb
_space_group_name_H-M_alt 'R -3 m'
_space_group_IT_number 166
_space_group_name_Hall '-R 3 2"'
_cell_length_a 3.2055
_cell_length_b 3.2055
_cell_length_c 27.9973
_cell_angle_alpha 90.00
_cell_angle_beta 90.00
_cell_angle_gamma 120.00
loop_
_atom_site_label
_atom_site_type_symbol
_atom_site_fract_x
_atom_site_fract_y
_atom_site_fract_z
Ag1 Ag 0.0000 0.0000 0.0000
Ag2 Ag 0.0000 0.0000 0.2537
Sb1 Sb 0.0000 0.0000 0.5000

# ScAg3Sb PBE-GGA relaxed
# volume: 27.42 A^3/atom
# offset from the most stable computed form: 0.0 kJ/mol of formula units
# crystal system: cubic
# ΔE_f (raw): 0.5648 eV per atom
data_ScAg3Sb
_space_group_name_H-M_alt 'P m -3 m'
_space_group_IT_number 221
_space_group_name_Hall '-P 4 2 3'
_cell_length_a 5.156
_cell_length_b 5.156
_cell_length_c 5.156
_cell_angle_alpha 90.00
_cell_angle_beta 90.00
_cell_angle_gamma 90.00
loop_
_atom_site_label
_atom_site_type_symbol
_atom_site_fract_x
_atom_site_fract_y
_atom_site_fract_z
Sc1 Sc 0.000 0.000 0.000
Ag1 Ag 0.000 0.500 0.500
Sb1 Sb 0.500 0.500 0.500

# ScAg4Sb PBE-GGA relaxed
# volume: 20.47 A^3/atom
# crystal system: cubic
# ΔE_f (raw): -0.0575 eV per atom
data_ScAg4Sb
_space_group_name_H-M_alt 'F -4 3 m'
_space_group_IT_number 216
_space_group_name_Hall 'F -4 2 3'
_cell_length_a 7.890
_cell_length_b 7.890
_cell_length_c 7.890
_cell_angle_alpha 90.00
_cell_angle_beta 90.00
_cell_angle_gamma 90.00
loop_
_atom_site_label
_atom_site_type_symbol
_atom_site_fract_x
_atom_site_fract_y
_atom_site_fract_z
Sc1 Sc 0.000 0.000 0.000
Ag1 Ag 0.125 0.125 0.625
Sb1 Sb 0.250 0.250 0.250